(1)
# Y2ReSe, optimized geometry, DFT PBE
data_Y2ReSe
_space_group_name_H-M_alt 'I -4 2 d'
_space_group_IT_number 122
_space_group_name_Hall 'I -4 2bw'
_cell_length_a 7.5295
_cell_length_b 7.5295
_cell_length_c 6.8230
_cell_angle_alpha 90.00
_cell_angle_beta 90.00
_cell_angle_gamma 90.00
loop_
_atom_site_label
_atom_site_type_symbol
_atom_site_fract_x
_atom_site_fract_y
_atom_site_fract_z
Y1 Y 0.2436 0.2500 0.1250
Re1 Re 0.0000 0.0000 0.0000
Se1 Se 0.0000 0.0000 0.5000
# VASP energy	-114.15	eV per cell
# energy relative to the elements, uncorrected	0.081	eV per atom

---

(2)
# NaNdSeBr, optimized geometry, DFT PBE
data_NaNdSeBr
_space_group_name_H-M_alt 'C 1 m 1'
_space_group_IT_number 8
_space_group_name_Hall 'C -2y'
_cell_length_a 7.1255
_cell_length_b 4.1138
_cell_length_c 8.0901
_cell_angle_alpha 90.00
_cell_angle_beta 107.13
_cell_angle_gamma 90.00
loop_
_atom_site_label
_atom_site_type_symbol
_atom_site_fract_x
_atom_site_fract_y
_atom_site_fract_z
Na1 Na 0.0000 0.0000 0.0000
Nd1 Nd 0.1866 0.0000 0.5611
Se1 Se 0.0954 0.5000 0.7870
Br1 Br 0.2660 0.5000 0.3003
# VASP energy	-34.17	eV per cell
# energy relative to the elements, uncorrected	-1.460	eV per atom

---

(3)
# BiOsPb2, optimized geometry, DFT PBE
data_BiOsPb2
_space_group_name_H-M_alt 'I -4 2 d'
_space_group_IT_number 122
_space_group_name_Hall 'I -4 2bw'
_cell_length_a 6.5687
_cell_length_b 6.5687
_cell_length_c 13.3240
_cell_angle_alpha 90.00
_cell_angle_beta 90.00
_cell_angle_gamma 90.00
loop_
_atom_site_label
_atom_site_type_symbol
_atom_site_fract_x
_atom_site_fract_y
_atom_site_fract_z
Bi1 Bi 0.0000 0.0000 0.0000
Os1 Os 0.0000 0.0000 0.5000
Pb1 Pb 0.1883 0.2500 0.6250
# VASP energy	-74.60	eV per cell
# E_form	3.9	eV/f.u.

---

Among the records above, which one has the lowest VASP energy?
Y2ReSe

---

The lowest VASP energy belongs to which entry?
Y2ReSe

---

VASP energy of number 1 (Y2ReSe)?
-114.15 eV per cell

---

What is the VASP energy in the first record?
-114.15 eV per cell